Li2MnOF3 | GGA+U | optimized geometry

The space group is P4_1 (No. 76) and the conventional cell measures 6.0577, 6.0577 and 8.2889 Å, with angles of 90.00, 90.00 and 90.00 degrees. The distinct sites, in fractional coordinates, are Li at (0.0172, 0.2321, 0.0000), Li at (0.2428, 0.7354, 0.1139), Mn at (0.2449, 0.5028, 0.7509), O at (0.2795, 0.4669, 0.9767), F at (0.0015, 0.2462, 0.2379), F at (0.0257, 0.2603, 0.7509) and F at (0.2233, 0.5006, 0.5092).

For the final energy, the calculation gives -157.82 eV/cell. For the density of states at the Fermi level, the calculation gives 0.00 states/eV per atom.